## U2RhS4I (GGA-PBE)

Data for an optimized crystal structure of U2RhS4I.

Properties
- Energy relative to the elements, uncorrected: -0.97 eV per atom

a b c (Å): 3.914 5.798 9.216
angles (deg): 77.69 77.74 70.27
Each line ends with the local moment (μB).
Fractional positions:
U: 0.800 0.603 0.798  2.11
U: 0.200 0.397 0.202  2.11
Rh: 0.000 0.000 0.000  -0.10
S: 0.161 0.938 0.740  -0.05
S: 0.388 0.298 0.926  -0.08
S: 0.839 0.062 0.260  -0.05
S: 0.612 0.702 0.074  -0.08
I: 0.500 0.500 0.500  -0.02

## V2Co3Ir3 (GGA-PBE)

Data for an optimized crystal structure of V2Co3Ir3.

Properties
- Energy of formation from the pure elements: -0.331 eV per atom

a b c (Å): 3.729 3.726 7.260
angles (deg): 90.00 90.00 90.00
Fractional positions:
V: 0.000 0.000 0.757
V: 0.000 0.000 0.243
Co: 0.500 0.500 0.754
Co: 0.500 0.500 0.246
Co: 0.500 0.000 0.000
Ir: 0.500 0.000 0.500
Ir: 0.000 0.500 0.000
Ir: 0.000 0.500 0.500